Record 1
{
  "formula": "Mg2NbCo2",
  "functional": "PBE",
  "state": "optimized geometry",
  "final_energy_ev_per_atom": -5.40,
  "delta_e_f_mev_per_atom": 98,
  "m_tot_mub_per_cell": 0.000,
  "lattice_angstrom": [[6.1774, 0.0000, 0.0000], [0.0000, 6.1774, 0.0000], [0.0000, 0.0000, 4.2156]],
  "species": ["Mg", "Mg", "Mg", "Mg", "Nb", "Nb", "Co", "Co", "Co", "Co"],
  "frac_coords": [[0.1738, 0.3262, 0.0000], [0.3262, 0.8262, 0.0000], [0.6738, 0.1738, 0.0000], [0.8262, 0.6738, 0.0000], [0.0000, 0.0000, 0.5000], [0.5000, 0.5000, 0.5000], [0.1254, 0.6254, 0.5000], [0.3746, 0.1254, 0.5000], [0.6254, 0.8746, 0.5000], [0.8746, 0.3746, 0.5000]]
}

Record 2
{
  "formula": "CoRhC3",
  "functional": "PBE",
  "state": "optimized geometry",
  "final_energy_ev_per_atom": -5.84,
  "delta_e_f_mev_per_atom": 2581,
  "m_tot_mub_per_cell": 0.000,
  "lattice_angstrom": [[3.9178, 0.0000, 0.0000], [0.0000, 3.9178, 0.0000], [0.0000, 0.0000, 3.9178]],
  "species": ["Co", "Rh", "C", "C", "C"],
  "frac_coords": [[0.0000, 0.0000, 0.0000], [0.5000, 0.5000, 0.5000], [0.0000, 0.5000, 0.5000], [0.5000, 0.0000, 0.5000], [0.5000, 0.5000, 0.0000]]
}

Record 3
{
  "formula": "Ba4Pa3O10",
  "functional": "PBE",
  "state": "optimized geometry",
  "final_energy_ev_per_atom": -8.13,
  "m_tot_mub_per_cell": 1.288,
  "lattice_angstrom": [[-2.2354, 2.2354, 16.0755], [2.2354, -2.2354, 16.0755], [2.2354, 2.2354, -16.0755]],
  "species": ["Ba", "Ba", "Ba", "Ba", "Pa", "Pa", "Pa", "O", "O", "O", "O", "O", "O", "O", "O", "O", "O"],
  "frac_coords": [[0.0720, 0.0720, 0.0000], [0.2108, 0.2108, 0.0000], [0.7892, 0.7892, 0.0000], [0.9280, 0.9280, 0.0000], [0.3595, 0.3595, 0.0000], [0.5000, 0.5000, 0.0000], [0.6405, 0.6405, 0.0000], [0.0000, 0.5000, 0.5000], [0.1337, 0.6337, 0.5000], [0.2917, 0.2917, 0.0000], [0.3663, 0.8663, 0.5000], [0.4307, 0.4307, 0.0000], [0.5000, 0.0000, 0.5000], [0.5693, 0.5693, 0.0000], [0.6337, 0.1337, 0.5000], [0.7083, 0.7083, 0.0000], [0.8663, 0.3663, 0.5000]]
}

Record 4
{
  "formula": "CrRu3",
  "functional": "PBE",
  "state": "optimized geometry",
  "final_energy_ev_per_atom": -8.90,
  "delta_e_f_mev_per_atom": 464,
  "m_tot_mub_per_cell": 6.929,
  "lattice_angstrom": [[6.0436, 0.0000, 0.0000], [0.0000, 6.0436, 0.0000], [0.0000, 0.0000, 6.0436]],
  "species": ["Cr", "Cr", "Cr", "Cr", "Ru", "Ru", "Ru", "Ru", "Ru", "Ru", "Ru", "Ru", "Ru", "Ru", "Ru", "Ru"],
  "frac_coords": [[0.0000, 0.0000, 0.0000], [0.0000, 0.5000, 0.5000], [0.5000, 0.0000, 0.5000], [0.5000, 0.5000, 0.0000], [0.0000, 0.0000, 0.5000], [0.0000, 0.5000, 0.0000], [0.2500, 0.2500, 0.2500], [0.2500, 0.2500, 0.7500], [0.2500, 0.7500, 0.2500], [0.2500, 0.7500, 0.7500], [0.5000, 0.0000, 0.0000], [0.5000, 0.5000, 0.5000], [0.7500, 0.2500, 0.2500], [0.7500, 0.2500, 0.7500], [0.7500, 0.7500, 0.2500], [0.7500, 0.7500, 0.7500]]
}